This record from Alexandria via LeMat-Bulk describes CaDyCdRh after structural relaxation. The functional is GGA-PBE.

## Properties
space-group type = No. 216
energy relative to the elements = -409 meV/atom
raw total energy = -4.126 eV per atom
energy above the most stable polymorph in this dataset = 104 meV per atom

Lattice parameters (Å, degrees): 5.072 5.072 5.072 60.00 60.00 60.00
Sites, in units of the cell vectors:
Ca1 0.000 0.000 0.000
Dy1 0.500 0.500 0.500
Cd1 0.250 0.250 0.250
Rh1 0.750 0.750 0.750